RbSeN2Cl: relaxed, PBE.

Cell: 4.8290 4.8290 5.0680 Å, 90.00 90.00 90.00°
Closest atoms and distances in Å follow each position.
Space group P4/mmm (No. 123)
Inequivalent atoms, fractional coordinates:
Rb: 0.0000 0.0000 0.0000 (multiplicity 1)  4 Se 3.41, 8 N 3.50
Se: 0.5000 0.5000 0.0000 (multiplicity 1)  2 Cl 2.53
N: 0.0000 0.5000 0.5000 (multiplicity 2)  2 Cl 2.41
Cl: 0.5000 0.5000 0.5000 (multiplicity 1)  4 N 2.41, 2 Se 2.53

Properties
relative energy among the computed polymorphs = 0 meV/atom



Rb2SiNCl6: relaxed, PBE.

Cell: 7.6273 7.6273 9.0939 Å, 90.00 90.00 90.00°
Closest atoms and distances in Å follow each position.
Space group I4/mmm (No. 139)
Inequivalent atoms, fractional coordinates:
Rb: 0.0000 0.5000 0.2500 (multiplicity 4)  12 Cl 3.55-3.82
Si: 0.0000 0.0000 0.0000 (multiplicity 2)  6 Cl 2.15-2.28
N: 0.0000 0.0000 0.5000 (multiplicity 2)  2 Cl 2.40
Cl: 0.0000 0.0000 0.2362 (multiplicity 4)  1 Si 2.15, 1 N 2.40
Cl: 0.2112 0.2112 0.0000 (multiplicity 8)  1 Si 2.28



Rb2SnNCl6: relaxed, PBE.

Cell: 8.0214 8.0214 9.0939 Å, 90.00 90.00 90.00°
Closest atoms and distances in Å follow each position.
Space group I4/mmm (No. 139)
Inequivalent atoms, fractional coordinates:
Rb: 0.0000 0.5000 0.2500 (multiplicity 4)  12 Cl 3.64-4.02
Sn: 0.0000 0.0000 0.0000 (multiplicity 2)  6 Cl 2.50-2.58
N: 0.0000 0.0000 0.5000 (multiplicity 2)  2 Cl 2.05
Cl: 0.0000 0.0000 0.2750 (multiplicity 4)  1 N 2.05
Cl: 0.2277 0.2277 0.0000 (multiplicity 8)  1 Sn 2.58



These records have theoretical density values of 3.20; 2.67; 2.93 g/cm³, in the order they appear.
These records have formation energy from raw total energies values of 1713; -783; -723 meV per atom, in the order they appear.